Record 1
DFT (PBE) results for crystalline RbNp2TeO8 at its relaxed geometry.

Values from the calculation:
M_tot ... 0.25 μB/atom
DOS(E_F) ... 7.02 states/eV per cell
Raw formation energy ... -2101.1 meV/atom

a = 5.2361 Å, b = 5.2213 Å, c = 7.0402 Å
α = 89.99°, β = 89.99°, γ = 87.44°
Last column: nearest neighbours and their distance in Å.
Element x y z (fractional)
Rb1 0.0000 0.0000 0.5000  6 O 2.58-2.62
Np1 0.4999 0.4999 0.7535  4 O 2.02-2.15
Np2 0.5001 0.5001 0.2465  4 O 2.02-2.15
Te1 0.0000 0.0000 0.0000  6 O 2.17-2.30
O1 0.2218 0.7762 0.2072  1 Np 2.02, 1 Te 2.17
O2 0.6944 0.6965 0.0001  2 Np 2.28, 1 Te 2.30
O3 0.7782 0.2238 0.2072  1 Np 2.02, 1 Te 2.17
O4 0.7782 0.2238 0.7928  1 Np 2.02, 1 Te 2.17
O5 0.3056 0.3035 0.9999  2 Np 2.28, 1 Te 2.30
O6 0.2218 0.7762 0.7928  1 Np 2.02, 1 Te 2.17
O7 0.6561 0.6601 0.5003  2 Np 2.15, 1 O 2.39
O8 0.3439 0.3399 0.4997  2 Np 2.15, 1 O 2.39



Record 2
DFT (PBE) results for crystalline RbNpTe2O8 at its relaxed geometry.

Values from the calculation:
M_tot ... 0.01 μB/atom
DOS(E_F) ... 2.61 states/eV per cell
Raw formation energy ... -1572.1 meV/atom

a = 6.4857 Å, b = 6.4857 Å, c = 7.8076 Å
α = 90.00°, β = 90.00°, γ = 120.00°
Last column: nearest neighbours and their distance in Å.
Element x y z (fractional)
Rb1 0.0000 0.0000 0.5000  6 O 3.16
Np1 0.0000 0.0000 0.0000  6 O 2.04
Te1 0.3333 0.6667 0.8215  1 O 1.81
Te2 0.6667 0.3333 0.1785  1 O 1.81
O1 0.1459 0.2919 0.8453  1 Np 2.04, 1 Te 2.11
O2 0.1459 0.8541 0.8453  1 Np 2.04, 1 Te 2.11
O3 0.7081 0.8541 0.8453  1 Np 2.04, 1 Te 2.11
O4 0.2919 0.1459 0.1547  1 Np 2.04, 1 Te 2.11
O5 0.6667 0.3333 0.4100  1 Te 1.81
O6 0.3333 0.6667 0.5900  1 Te 1.81
O7 0.8541 0.7081 0.1547  1 Np 2.04, 1 Te 2.11
O8 0.8541 0.1459 0.1547  1 Np 2.04, 1 Te 2.11



Record 3
DFT (PBE) results for crystalline Rb2ThNpO6 at its relaxed geometry.

Values from the calculation:
M_tot ... 0.10 μB/atom
Raw formation energy ... -2834.8 meV/atom

a = 6.2544 Å, b = 6.2541 Å, c = 8.8448 Å
α = 90.00°, β = 90.00°, γ = 90.00°
Last column: nearest neighbours and their distance in Å.
Element x y z (fractional)
Rb1 0.5000 0.7501 0.2500  12 O 3.13
Rb2 0.0000 0.2499 0.7500  12 O 3.13
Rb3 0.5000 0.7501 0.7500  12 O 3.13
Rb4 0.0000 0.2499 0.2500  12 O 3.13
Th1 0.0000 0.7499 0.5000  6 O 2.33
Th2 0.5000 0.2501 0.0000  6 O 2.33
Np1 0.5000 0.2499 0.5000  6 O 2.10
Np2 0.0000 0.7501 0.0000  6 O 2.10
O1 0.5000 0.2500 0.2630  1 Np 2.10, 1 Th 2.33
O2 0.5000 0.2500 0.7370  1 Np 2.10, 1 Th 2.33
O3 0.0000 0.7500 0.2370  1 Np 2.10, 1 Th 2.33
O4 0.0000 0.7500 0.7630  1 Np 2.10, 1 Th 2.33
O5 0.2630 0.0129 0.5000  1 Np 2.10, 1 Th 2.33
O6 0.7370 0.0129 0.5000  1 Np 2.10, 1 Th 2.33
O7 0.2630 0.4869 0.5000  1 Np 2.10, 1 Th 2.33
O8 0.7370 0.4869 0.5000  1 Np 2.10, 1 Th 2.33
O9 0.7630 0.5131 0.0000  1 Np 2.10, 1 Th 2.33
O10 0.2370 0.5131 0.0000  1 Np 2.10, 1 Th 2.33
O11 0.2370 0.9871 0.0000  1 Np 2.10, 1 Th 2.33
O12 0.7630 0.9871 0.0000  1 Np 2.10, 1 Th 2.33



Record 4
DFT (PBE) results for crystalline RbThNpO6 at its relaxed geometry.

Values from the calculation:
M_tot ... 0.01 μB/atom
Raw formation energy ... -2822.2 meV/atom

a = 8.0607 Å, b = 8.2805 Å, c = 8.0571 Å
α = 120.92°, β = 120.01°, γ = 90.00°
Last column: nearest neighbours and their distance in Å.
Element x y z (fractional)
Rb1 0.8954 0.6454 0.7909  1 O 3.05
Rb2 0.1046 0.3546 0.2091  1 O 3.05
Th1 0.5000 0.0000 0.5000  6 O 2.22-2.38
Th2 0.0000 0.0000 0.5000  6 O 2.22-2.38
Np1 0.5000 0.5000 0.0000  6 O 1.98-2.11
Np2 0.5000 0.0000 0.0000  6 O 1.98-2.11
O1 0.4653 0.7153 0.9306  2 Np 2.11
O2 0.8330 0.0830 0.6659  2 Th 2.22
O3 0.7960 0.0875 0.2429  1 Np 1.98
O4 0.4469 0.6553 0.2429  1 Np 1.98
O5 0.4469 0.0875 0.2429  1 Np 1.98
O6 0.7960 0.6553 0.2429  1 Np 1.98
O7 0.5347 0.2847 0.0694  2 Np 2.11
O8 0.1670 0.9170 0.3341  2 Th 2.22
O9 0.2040 0.9125 0.7571  1 Np 1.98
O10 0.5531 0.3447 0.7571  1 Np 1.98
O11 0.5531 0.9125 0.7571  1 Np 1.98
O12 0.2040 0.3447 0.7571  1 Np 1.98